[1]
Here is a relaxed FeAs2Br crystal from the Alexandria database. Energies are from PBE.

Cell: 4.3716 3.4772 7.3766 Å, 90.00 102.38 90.00°
Last column: nearest neighbours and their distance in Å.
Sites, in units of the cell vectors:
Fe  0.0000  0.0000  0.0000  2 As 2.44, 2 Br 2.46
As  0.2677  0.5000  0.2753  2 As 2.44
As  0.5538  0.0000  0.1501  2 As 2.44, 2 Fe 2.44
Br  0.9197  0.5000  0.7587  2 Fe 2.46

Calculated values
Excess energy over the best structure of this formula in the dataset, eV/f.u.: 0.000
Crystal system: monoclinic
Formation energy without anion corrections, eV per atom: -0.0298
Energy, eV per atom: -4.888

---

[2]
Here is a relaxed BeTl2P crystal from the Alexandria database. Energies are from PBE.

Cell: 4.5254 4.5254 7.1365 Å, 109.72 109.72 47.81°
Last column: nearest neighbours and their distance in Å.
Sites, in units of the cell vectors:
Be  0.0000  0.0000  0.0000  2 P 2.04
Tl  0.6317  0.6317  0.5999  3 P 2.94-3.12
Tl  0.7766  0.7766  0.2124  3 Be 2.79-2.89, 1 P 2.99
P  0.4335  0.4335  0.8669  2 Be 2.04

Calculated values
Excess energy over the best structure of this formula in the dataset, eV/f.u.: 0.062
Formation energy, eV/atom: 0.142
Crystal system: monoclinic
Energy, eV per atom: -3.325

---

[3]
Here is a relaxed KCr2Rh crystal from the Alexandria database. Energies are from PBE.

Cell: 4.4304 4.4304 4.4304 Å, 60.00 60.00 60.00°
Last column: nearest neighbours and their distance in Å.
Sites, in units of the cell vectors:
K  0.0000  0.0000  0.0000  8 Cr 2.71
Cr  0.2500  0.2500  0.2500  4 K 2.71, 4 Rh 2.71
Cr  0.7500  0.7500  0.7500  4 K 2.71, 4 Rh 2.71
Rh  0.5000  0.5000  0.5000  8 Cr 2.71

Calculated values
Excess energy over the best structure of this formula in the dataset, eV/f.u.: 3.944
Formation energy, eV/atom: 1.541
Crystal system: cubic
Energy, eV per atom: -5.383

---

[4]
Here is a relaxed Ac3GaBr3 crystal from the Alexandria database. Energies are from PBE.

Cell: 6.3795 6.3795 6.3795 Å, 90.00 90.00 90.00°
Last column: nearest neighbours and their distance in Å.
Sites, in units of the cell vectors:
Ac  0.0000  0.0000  0.5000  4 Br 3.19, 2 Ga 3.19
Ac  0.0000  0.5000  0.0000  4 Br 3.19, 2 Ga 3.19
Ac  0.5000  0.0000  0.0000  4 Br 3.19, 2 Ga 3.19
Ga  0.0000  0.0000  0.0000  6 Ac 3.19
Br  0.0000  0.5000  0.5000  4 Ac 3.19
Br  0.5000  0.0000  0.5000  4 Ac 3.19
Br  0.5000  0.5000  0.0000  4 Ac 3.19

Calculated values
Excess energy over the best structure of this formula in the dataset, eV/f.u.: 0.050
Crystal system: cubic
Formation energy without anion corrections, eV per atom: -1.3156
Energy, eV per atom: -4.226

---

[5]
Here is a relaxed SrTc4Pt crystal from the Alexandria database. Energies are from PBE.

Cell: 5.3018 5.3018 5.3018 Å, 60.00 60.00 60.00°
Last column: nearest neighbours and their distance in Å.
Sites, in units of the cell vectors:
Sr  0.0000  0.0000  0.0000  12 Tc 3.11, 4 Pt 3.25
Tc  0.1283  0.6239  0.6239  6 Tc 2.63-2.67
Tc  0.6239  0.1283  0.6239  6 Tc 2.63-2.67
Tc  0.6239  0.6239  0.1283  6 Tc 2.63-2.67
Tc  0.6239  0.6239  0.6239  6 Tc 2.63-2.67
Pt  0.2500  0.2500  0.2500  12 Tc 3.11, 4 Sr 3.25

Calculated values
Formation energy, eV/atom: 0.495
Crystal system: cubic
Energy, eV per atom: -7.703

---

[6]
Here is a relaxed UTiRe4 crystal from the Alexandria database. Energies are from PBE.

Cell: 5.3054 5.3054 5.3054 Å, 60.00 60.00 60.00°
Last column: nearest neighbours and their distance in Å.
Sites, in units of the cell vectors:
U  0.0000  0.0000  0.0000  12 Re 3.11, 4 Ti 3.25
Ti  0.7500  0.7500  0.7500  12 Re 3.11, 4 U 3.25
Re  0.3758  0.3758  0.3758  6 Re 2.64-2.67
Re  0.3758  0.3758  0.8727  6 Re 2.64-2.67
Re  0.3758  0.8727  0.3758  6 Re 2.64-2.67
Re  0.8727  0.3758  0.3758  6 Re 2.64-2.67

Calculated values
Formation energy, eV/atom: 0.044
Crystal system: cubic
Energy, eV per atom: -11.452

---

[7]
Here is a relaxed Sc2CoPb crystal from the Alexandria database. Energies are from PBE.

Cell: 5.2808 5.2808 5.2808 Å, 138.51 124.09 71.96°
Last column: nearest neighbours and their distance in Å.
Sites, in units of the cell vectors:
Sc  0.2054  0.2054  0.0000  2 Co 2.57
Sc  0.7946  0.7946  0.0000  2 Co 2.57
Co  0.0000  0.5000  0.5000  4 Sc 2.57
Pb  0.5000  0.0000  0.5000  8 Sc 3.03-3.14, 4 Co 3.10

Calculated values
Formation energy, eV/atom: -0.192
Crystal system: orthorhombic
Energy, eV per atom: -6.061

---

[8]
Here is a relaxed Cs3AuI4 crystal from the Alexandria database. Energies are from PBE.

Cell: 12.3022 11.4044 6.3102 Å, 90.00 90.00 90.00°
Last column: nearest neighbours and their distance in Å.
Sites, in units of the cell vectors:
Cs  0.0000  0.0489  0.0000  2 I 3.76, 2 Au 3.88-3.90
Cs  0.1765  0.6042  0.5029  6 I 3.72-4.11
Cs  0.3235  0.3958  0.0029  6 I 3.72-4.11
Cs  0.5000  0.9511  0.5000  2 I 3.76, 2 Au 3.88-3.90
Cs  0.6765  0.3958  0.0029  6 I 3.72-4.11
Cs  0.8235  0.6042  0.5029  6 I 3.72-4.11
Au  0.0000  0.2487  0.5018  2 I 2.59
Au  0.5000  0.7513  0.0018  2 I 2.59
I  0.0000  0.4873  0.0030  6 Cs 4.05-4.11, 2 Au 4.16-4.17
I  0.0000  0.8688  0.4999  4 Cs 3.72-3.76
I  0.2100  0.2376  0.5026  1 Au 2.59
I  0.2900  0.7624  0.0026  1 Au 2.59
I  0.5000  0.1312  0.9999  4 Cs 3.72-3.76
I  0.5000  0.5127  0.5030  6 Cs 4.05-4.11, 2 Au 4.16-4.17
I  0.7100  0.7624  0.0026  1 Au 2.59
I  0.7900  0.2376  0.5026  1 Au 2.59

Calculated values
Crystal system: orthorhombic
Formation energy without anion corrections, eV per atom: -1.1279
Energy, eV per atom: -2.633

---

[9]
Here is a relaxed AgMoRh2 crystal from the Alexandria database. Energies are from PBE.

Cell: 2.7552 4.0557 5.5109 Å, 90.00 90.00 90.00°
Last column: nearest neighbours and their distance in Å.
Sites, in units of the cell vectors:
Ag  0.0000  0.0000  0.0000  6 Rh 2.72-2.81, 2 Ag 2.76, 4 Mo 2.92
Mo  0.5000  0.5000  0.2889  5 Rh 2.54-2.70, 2 Mo 2.76
Rh  0.0000  0.0000  0.4929  4 Mo 2.70, 2 Ag 2.72-2.79, 6 Rh 2.76-2.83
Rh  0.5000  0.5000  0.7500  1 Mo 2.54, 6 Rh 2.76-2.83, 4 Ag 2.81

Calculated values
Excess energy over the best structure of this formula in the dataset, eV/f.u.: 0.712
Formation energy, eV/atom: 0.149
Crystal system: orthorhombic
Energy, eV per atom: -6.947

---

[10]
Here is a relaxed Na3CuGe crystal from the Alexandria database. Energies are from PBE.

Cell: 6.4839 6.4839 7.3606 Å, 113.86 113.86 86.26°
Last column: nearest neighbours and their distance in Å.
Sites, in units of the cell vectors:
Na  0.0028  0.0028  0.2338  1 Cu 2.88, 1 Ge 3.03
Na  0.0916  0.4897  0.7687  2 Cu 3.04-3.16, 2 Ge 3.16-3.17, 2 Na 3.28-3.31
Na  0.4897  0.0916  0.7687  2 Cu 3.04-3.16, 2 Ge 3.16-3.17, 2 Na 3.28-3.31
Na  0.5103  0.9084  0.2313  2 Cu 3.04-3.16, 2 Ge 3.16-3.17, 2 Na 3.28-3.31
Na  0.9084  0.5103  0.2313  2 Cu 3.04-3.16, 2 Ge 3.16-3.17, 2 Na 3.28-3.31
Na  0.9972  0.9972  0.7662  1 Cu 2.88, 1 Ge 3.03
Cu  0.3687  0.3687  0.4991  2 Ge 2.39-2.40, 1 Cu 2.48
Cu  0.6313  0.6313  0.5009  2 Ge 2.39-2.40, 1 Cu 2.48
Ge  0.3575  0.3575  0.1653  2 Cu 2.39-2.40
Ge  0.6425  0.6425  0.8347  2 Cu 2.39-2.40

Calculated values
Excess energy over the best structure of this formula in the dataset, eV/f.u.: 0.000
Formation energy, eV/atom: 0.069
Crystal system: monoclinic
Energy, eV per atom: -2.465

---

[11]
Here is a relaxed YSb2Ir crystal from the Alexandria database. Energies are from PBE.

Cell: 5.0020 5.0020 5.0020 Å, 60.00 60.00 60.00°
Last column: nearest neighbours and their distance in Å.
Sites, in units of the cell vectors:
Y  0.0000  0.0000  0.0000  8 Sb 3.06
Sb  0.2500  0.2500  0.2500  4 Ir 3.06, 4 Y 3.06
Sb  0.7500  0.7500  0.7500  4 Ir 3.06, 4 Y 3.06
Ir  0.5000  0.5000  0.5000  8 Sb 3.06

Calculated values
Crystal system: cubic
Formation energy without anion corrections, eV per atom: -0.1618
Energy, eV per atom: -6.054

---

[12]
Here is a relaxed La4TbCd5 crystal from the Alexandria database. Energies are from PBE.

Cell: 3.8852 3.8852 19.6508 Å, 90.00 90.00 90.00°
Last column: nearest neighbours and their distance in Å.
Sites, in units of the cell vectors:
La  0.0000  0.0000  0.1022  8 Cd 3.39-3.40
La  0.0000  0.0000  0.3065  8 Cd 3.41-3.43, 1 Tb 3.80
La  0.0000  0.0000  0.6935  8 Cd 3.41-3.43, 1 Tb 3.80
La  0.0000  0.0000  0.8978  8 Cd 3.39-3.40
Tb  0.0000  0.0000  0.5000  8 Cd 3.26
Cd  0.5000  0.5000  0.0000  8 La 3.40
Cd  0.5000  0.5000  0.2037  8 La 3.39-3.41
Cd  0.5000  0.5000  0.4111  4 Tb 3.26, 4 La 3.43, 1 Cd 3.49
Cd  0.5000  0.5000  0.5889  4 Tb 3.26, 4 La 3.43, 1 Cd 3.49
Cd  0.5000  0.5000  0.7963  8 La 3.39-3.41

Calculated values
Formation energy, eV/atom: -0.324
Crystal system: tetragonal
Energy, eV per atom: -3.215

---

Q: Among the records above, which one has the lowest energy?
A: UTiRe4

---

Please write out number 11 again, unchanged.
Here is a relaxed YSb2Ir crystal from the Alexandria database. Energies are from PBE.

Cell: 5.0020 5.0020 5.0020 Å, 60.00 60.00 60.00°
Last column: nearest neighbours and their distance in Å.
Sites, in units of the cell vectors:
Y  0.0000  0.0000  0.0000  8 Sb 3.06
Sb  0.2500  0.2500  0.2500  4 Ir 3.06, 4 Y 3.06
Sb  0.7500  0.7500  0.7500  4 Ir 3.06, 4 Y 3.06
Ir  0.5000  0.5000  0.5000  8 Sb 3.06

Calculated values
Crystal system: cubic
Formation energy without anion corrections, eV per atom: -0.1618
Energy, eV per atom: -6.054

---

Q: Number 10 is which compound?
A: Na3CuGe

---

Q: Among the records above, which one has the highest energy?
A: Na3CuGe